## w
Density functional theory data (PBE) for Hf3PbF after structural relaxation.

Properties
- Spin magnetization: 0.75 μB/cell

abc: 4.603 4.603 4.603
angles: 90.00 90.00 90.00
Positions (direct):
Hf (0.000, 0.000, 0.500)
Hf (0.000, 0.500, 0.000)
Hf (0.500, 0.000, 0.000)
Pb (0.500, 0.500, 0.500)
F (0.000, 0.000, 0.000)

=====

## x
Density functional theory data (PBE) for Hf3PbF after structural relaxation.

Properties
- Spin magnetization: 4.70 μB/cell

abc: 5.440 5.440 5.440
angles: 90.00 90.00 90.00
Positions (direct):
Hf (0.000, 0.000, 0.500)
Hf (0.000, 0.500, 0.000)
Hf (0.500, 0.000, 0.000)
Pb (0.000, 0.000, 0.000)
F (0.500, 0.500, 0.500)

=====

The structure shown above that is least stable: x.